Entry 1:
PmSm2Ga6, optimized geometry, DFT GGA-PBE; distance to the lowest polymorph of the same formula = 216 meV/atom; symmetry = No. 71; DOS(E_F) = 4.73 states/eV/f.u.
1.0
-2.197 3.583 6.707
2.197 -3.583 6.707
2.197 3.583 -6.707
Pm Sm Ga
1 2 6
direct
0.000 0.000 0.000
0.371 0.871 0.500
0.629 0.129 0.500
0.010 0.320 0.690
0.315 0.500 0.815
0.371 0.680 0.690
0.629 0.320 0.310
0.685 0.500 0.185
0.990 0.680 0.310



Entry 2:
PmSm3Ga2, optimized geometry, DFT GGA-PBE; distance to the lowest polymorph of the same formula = 0 meV/atom; symmetry = No. 26; DOS(E_F) = 6.16 states/eV/f.u.
1.0
5.116 0.000 0.000
0.000 9.648 0.000
0.000 0.000 6.668
Pm Sm Ga
2 6 4
direct
0.000 0.052 0.000
0.000 0.948 0.500
0.000 0.328 0.657
0.000 0.672 0.157
0.500 0.173 0.295
0.500 0.447 0.953
0.500 0.553 0.453
0.500 0.827 0.795
0.000 0.353 0.187
0.000 0.647 0.687
0.500 0.147 0.765
0.500 0.853 0.265



Entry 3:
PmSm2Ga, optimized geometry, DFT GGA-PBE; distance to the lowest polymorph of the same formula = 87 meV/atom; symmetry = No. 160; DOS(E_F) = 4.25 states/eV/f.u.
1.0
1.850 1.068 10.395
-1.850 1.068 10.395
0.000 -2.136 10.395
Pm Sm Ga
1 2 1
direct
0.000 0.000 0.000
0.570 0.570 0.570
0.763 0.763 0.763
0.166 0.166 0.166



Entry 4:
PmSm5Ga6, optimized geometry, DFT GGA-PBE; uncorrected energy = -53.3 eV/f.u.; symmetry = No. 12; DOS(E_F) = 4.38 states/eV/f.u.
1.0
4.467 -7.752 0.000
4.467 7.752 0.000
-2.973 0.000 4.216
Pm Sm Ga
1 5 6
direct
0.000 0.000 0.000
0.166 0.834 0.500
0.333 0.667 0.000
0.500 0.500 0.500
0.667 0.333 0.000
0.834 0.166 0.500
0.084 0.418 0.251
0.252 0.252 0.752
0.418 0.084 0.251
0.582 0.916 0.749
0.748 0.748 0.248
0.916 0.582 0.749



Entry 5:
Pm2SmGa3, optimized geometry, DFT GGA-PBE; uncorrected energy = -26.7 eV/f.u.; symmetry = No. 164; DOS(E_F) = 2.78 states/eV/f.u.
1.0
5.173 0.000 0.000
-2.586 4.480 0.000
0.000 0.000 12.724
Pm Sm Ga
4 2 6
direct
0.000 0.000 0.000
0.000 0.000 0.500
0.333 0.667 0.167
0.667 0.333 0.833
0.333 0.667 0.667
0.667 0.333 0.333
0.000 0.000 0.251
0.000 0.000 0.749
0.333 0.667 0.417
0.333 0.667 0.916
0.667 0.333 0.084
0.667 0.333 0.583



Entry 6:
PmSmGaSn, optimized geometry, DFT GGA-PBE; distance to the lowest polymorph of the same formula = 149 meV/atom; symmetry = No. 216; DOS(E_F) = 2.58 states/eV/f.u.
1.0
0.000 3.769 3.769
3.769 0.000 3.769
3.769 3.769 0.000
Pm Sm Ga Sn
1 1 1 1
direct
0.000 0.000 0.000
0.500 0.500 0.500
0.750 0.750 0.750
0.250 0.250 0.250



Entry 7:
PmSmGaSn, optimized geometry, DFT GGA-PBE; distance to the lowest polymorph of the same formula = 0 meV/atom; symmetry = No. 38; DOS(E_F) = 3.89 states/eV/f.u.
1.0
4.242 0.000 0.000
0.000 2.286 5.718
0.000 -2.286 5.718
Pm Sm Ga Sn
1 1 1 1
direct
0.000 0.000 0.000
0.500 0.720 0.720
0.500 0.448 0.448
0.000 0.286 0.286



Entry 8:
TbPmSmGa, optimized geometry, DFT GGA-PBE; uncorrected energy = -17.3 eV/f.u.; symmetry = No. 216; DOS(E_F) = 5.66 states/eV/f.u.
1.0
0.000 3.819 3.819
3.819 0.000 3.819
3.819 3.819 0.000
Tb Pm Sm Ga
1 1 1 1
direct
0.000 0.000 0.000
0.750 0.750 0.750
0.500 0.500 0.500
0.250 0.250 0.250